(1)
The following is a DFT calculation (GGA-PBE) of a relaxed structure of InFeIrPd.

```
InFeIrPd
1.0
4.468 0.000 0.000
2.234 3.869 0.000
2.234 1.290 3.648
Pd Fe Ir In
1 1 1 1
Direct
0.500 0.500 0.500
0.750 0.750 0.750
0.000 0.000 0.000
0.250 0.250 0.250
```

## Properties
ΔH_f (0 K) (eV/atom): -0.08
Total magnetic moment (μB per formula unit): 3.38

(2)
The following is a DFT calculation (GGA-PBE) of a relaxed structure of KTeAs2.

```
KTeAs2
1.0
-3.040 1.417 -0.546
-1.362 -2.004 2.383
1.909 6.687 6.716
As Te K
2 1 1
Direct
0.000 0.000 0.086
0.500 0.500 0.204
0.500 0.500 0.742
0.000 0.000 0.468
```

## Properties
Energy relative to the elements, uncorrected (eV/atom): -0.130
Total magnetic moment (μB per formula unit): 0.00

(3)
The following is a DFT calculation (GGA-PBE) of a relaxed structure of TaTi3Mn4.

```
TaTi3Mn4
1.0
3.013 0.000 0.000
0.000 4.254 0.000
0.000 0.000 8.458
Ti Mn Ta
3 4 1
Direct
0.500 0.000 0.254
0.500 0.500 0.500
0.500 0.000 0.746
0.000 0.500 0.747
0.000 0.000 0.000
0.000 0.000 0.500
0.000 0.500 0.253
0.500 0.500 0.000
```

## Properties
ΔH_f (0 K) (eV/atom): -0.25
Total magnetic moment (μB per formula unit): 1.65